The following is a GGA-PBE calculation of a relaxed Tb4SmPb2 crystal, from the Alexandria database.

Lattice parameters (Å, degrees): 9.093 9.093 9.093 145.32 145.32 49.85
Atoms (fractional coordinates):
Tb 0.000 0.500 0.500
Tb 0.182 0.182 0.000
Tb 0.500 0.000 0.500
Tb 0.818 0.818 0.000
Sm 0.000 0.000 0.000
Pb 0.369 0.369 0.000
Pb 0.631 0.631 0.000

Results
- Magnetic moment: 0.00 μB per formula unit
- Energy of formation from the pure elements: 430 meV per atom